(1)
Entry from OQMD via LeMat-Bulk: an optimized crystal structure of CdAu2 (PBE).

Space-group type: Fd-3m, No. 227
Calculated formation energy (meV per atom): -98

Cell and atoms, written as POSCAR:
```
CdAu2
1.0
0.0000 3.9337 3.9337
3.9337 0.0000 3.9337
3.9337 3.9337 0.0000
Cd Au
2 4
Direct
0.1250 0.1250 0.1250
0.8750 0.8750 0.8750
0.0000 0.5000 0.5000
0.5000 0.0000 0.5000
0.5000 0.5000 0.0000
0.5000 0.5000 0.5000
```


(2)
Entry from OQMD via LeMat-Bulk: an optimized crystal structure of CdAu15 (PBE).

Relative energy among the computed polymorphs (eV per atom): 0.033
Space-group type: P2_1/m, No. 11
Calculated formation energy (meV per atom): 46

Cell and atoms, written as POSCAR:
```
CdAu15
1.0
8.3486 0.0000 0.0000
0.0000 2.9098 0.0000
-0.0201 0.0000 37.6513
Cd Au
2 30
Direct
0.1250 0.2500 0.2024
0.8750 0.7500 0.7976
0.1224 0.2500 0.7588
0.1230 0.2500 0.6778
0.1251 0.2500 0.2831
0.1250 0.2500 0.3626
0.1251 0.2500 0.4412
0.1252 0.2500 0.5198
0.1250 0.2500 0.5987
0.3724 0.7500 0.2411
0.3730 0.7500 0.3221
0.3749 0.7500 0.4013
0.3753 0.7500 0.4803
0.3751 0.7500 0.5591
0.3751 0.7500 0.6377
0.3751 0.7500 0.7151
0.3749 0.7500 0.7921
0.6251 0.2500 0.2079
0.6249 0.2500 0.2849
0.6249 0.2500 0.3623
0.6249 0.2500 0.4409
0.6247 0.2500 0.5197
0.6251 0.2500 0.5987
0.6270 0.2500 0.6779
0.6276 0.2500 0.7589
0.8750 0.7500 0.4013
0.8748 0.7500 0.4802
0.8749 0.7500 0.5588
0.8750 0.7500 0.6374
0.8749 0.7500 0.7169
0.8770 0.7500 0.3222
0.8776 0.7500 0.2412
```


(3)
Entry from OQMD via LeMat-Bulk: an optimized crystal structure of Cd2Au9 (PBE).

Space-group type: P-3m1, No. 164
Calculated formation energy (meV per atom): 4

Cell and atoms, written as POSCAR:
```
Cd2Au9
1.0
2.9192 0.0000 0.0000
-1.4596 2.5281 0.0000
0.0000 0.0000 31.8652
Cd Au
2 9
Direct
0.3333 0.6667 0.3906
0.6667 0.3333 0.6094
0.0000 0.0000 0.0000
0.0000 0.0000 0.2295
0.0000 0.0000 0.7705
0.3333 0.6667 0.1527
0.3333 0.6667 0.6926
0.3333 0.6667 0.9237
0.6667 0.3333 0.0763
0.6667 0.3333 0.3074
0.6667 0.3333 0.8473
```


(4)
Entry from OQMD via LeMat-Bulk: an optimized crystal structure of CdAu2 (PBE).

Space-group type: I4/mmm, No. 139
Calculated formation energy (meV per atom): -139

Cell and atoms, written as POSCAR:
```
CdAu2
1.0
-1.7781 1.7781 4.4952
1.7781 -1.7781 4.4952
1.7781 1.7781 -4.4952
Cd Au
1 2
Direct
0.0000 0.0000 0.0000
0.3337 0.3337 0.0000
0.6663 0.6663 0.0000
```


(5)
Entry from OQMD via LeMat-Bulk: an optimized crystal structure of CdAu3 (PBE).

Space-group type: I4/mmm, No. 139
Calculated formation energy (meV per atom): -142

Cell and atoms, written as POSCAR:
```
CdAu3
1.0
-2.0985 2.0985 8.4516
2.0985 -2.0985 8.4516
2.0985 2.0985 -8.4516
Cd Au
2 6
Direct
0.1266 0.1266 0.0000
0.8734 0.8734 0.0000
0.0000 0.5000 0.5000
0.2500 0.7500 0.5000
0.3762 0.3762 0.0000
0.5000 0.0000 0.5000
0.6238 0.6238 0.0000
0.7500 0.2500 0.5000
```


(6)
Entry from OQMD via LeMat-Bulk: an optimized crystal structure of Cd3Au5 (PBE).

Space-group type: Cmcm, No. 63
Calculated formation energy (meV per atom): -153

Cell and atoms, written as POSCAR:
```
Cd3Au5
1.0
4.6398 -3.5104 0.0000
4.6398 3.5104 0.0000
0.0000 0.0000 9.3946
Cd Au
6 10
Direct
0.0501 0.9499 0.7500
0.2697 0.2697 0.0000
0.2697 0.2697 0.5000
0.7303 0.7303 0.0000
0.7303 0.7303 0.5000
0.9499 0.0501 0.2500
0.0140 0.5303 0.2500
0.2251 0.7749 0.0231
0.2251 0.7749 0.4769
0.4691 0.5309 0.7500
0.4697 0.9860 0.2500
0.5303 0.0140 0.7500
0.5309 0.4691 0.2500
0.7749 0.2251 0.5231
0.7749 0.2251 0.9769
0.9860 0.4697 0.7500
```


(7)
Entry from OQMD via LeMat-Bulk: an optimized crystal structure of CdAu3 (PBE).

Space-group type: P4/mmm, No. 123
Calculated formation energy (meV per atom): -137

Cell and atoms, written as POSCAR:
```
CdAu3
1.0
4.1988 0.0000 0.0000
0.0000 4.1988 0.0000
0.0000 0.0000 4.2201
Cd Au
1 3
Direct
0.0000 0.0000 0.0000
0.0000 0.5000 0.5000
0.5000 0.0000 0.5000
0.5000 0.5000 0.0000
```


(8)
Entry from OQMD via LeMat-Bulk: an optimized crystal structure of CdAu15 (PBE).

Relative energy among the computed polymorphs (eV per atom): 0.023
Space-group type: P2_1/m, No. 11
Calculated formation energy (meV per atom): 36

Cell and atoms, written as POSCAR:
```
CdAu15
1.0
5.8711 0.0000 0.0000
0.0000 4.1386 0.0000
-0.0059 0.0000 37.6646
Cd Au
2 30
Direct
0.1249 0.2500 0.2963
0.8751 0.7500 0.7037
0.1219 0.2500 0.7414
0.1243 0.2500 0.8223
0.1251 0.2500 0.0588
0.1250 0.2500 0.1372
0.1250 0.2500 0.2161
0.1253 0.2500 0.9014
0.1249 0.2500 0.9801
0.3720 0.7500 0.2586
0.3742 0.7500 0.1776
0.3749 0.7500 0.0198
0.3753 0.7500 0.0986
0.3749 0.7500 0.7072
0.3750 0.7500 0.7846
0.3750 0.7500 0.8625
0.3751 0.7500 0.9412
0.6249 0.2500 0.0588
0.6250 0.2500 0.1375
0.6250 0.2500 0.2154
0.6251 0.2500 0.2928
0.6247 0.2500 0.9014
0.6251 0.2500 0.9802
0.6258 0.2500 0.8224
0.6280 0.2500 0.7414
0.8751 0.7500 0.0199
0.8747 0.7500 0.0986
0.8750 0.7500 0.7839
0.8750 0.7500 0.8628
0.8749 0.7500 0.9412
0.8757 0.7500 0.1777
0.8781 0.7500 0.2586
```


(9)
Entry from OQMD via LeMat-Bulk: an optimized crystal structure of CdAu2Cl8 (PBE).

Final energy (eV/atom): -2.511
Space-group type: C2/c, No. 15

Cell and atoms, written as POSCAR:
```
CdAu2Cl8
1.0
8.5785 -3.7294 0.0000
8.5785 3.7294 0.0000
-8.1561 0.0000 9.3761
Cd Au Cl
2 4 16
Direct
0.2379 0.7621 0.7500
0.7621 0.2379 0.2500
0.1556 0.3360 0.3617
0.3360 0.1556 0.8617
0.6640 0.8444 0.1383
0.8444 0.6640 0.6383
0.1015 0.7094 0.8534
0.1439 0.1576 0.4286
0.1534 0.5260 0.3005
0.1576 0.1439 0.9286
0.2906 0.8985 0.6466
0.3786 0.4136 0.0777
0.4136 0.3786 0.5777
0.4740 0.8466 0.1995
0.5260 0.1534 0.8005
0.5864 0.6214 0.4223
0.6214 0.5864 0.9223
0.7094 0.1015 0.3534
0.8424 0.8561 0.0714
0.8466 0.4740 0.6995
0.8561 0.8424 0.5714
0.8985 0.2906 0.1466
```


(10)
Entry from OQMD via LeMat-Bulk: an optimized crystal structure of CdCo2Au (PBE).

Space-group type: F-43m, No. 216
Calculated formation energy (meV per atom): 327

Cell and atoms, written as POSCAR:
```
CdCo2Au
1.0
0.0000 3.1221 3.1221
3.1221 0.0000 3.1221
3.1221 3.1221 0.0000
Cd Co Au
1 2 1
Direct
0.0000 0.0000 0.0000
0.5000 0.5000 0.5000
0.7500 0.7500 0.7500
0.2500 0.2500 0.2500
```


(11)
Entry from OQMD via LeMat-Bulk: an optimized crystal structure of CdInCoAu (PBE).

Relative energy among the computed polymorphs (eV per atom): 0.000
Space-group type: F-43m, No. 216

Cell and atoms, written as POSCAR:
```
CdInCoAu
1.0
0.0000 3.2850 3.2850
3.2850 0.0000 3.2850
3.2850 3.2850 0.0000
Cd In Co Au
1 1 1 1
Direct
0.0000 0.0000 0.0000
0.5000 0.5000 0.5000
0.7500 0.7500 0.7500
0.2500 0.2500 0.2500
```


(12)
Entry from OQMD via LeMat-Bulk: an optimized crystal structure of CdCoMoAu (PBE).

Relative energy among the computed polymorphs (eV per atom): 0.000
Space-group type: F-43m, No. 216
Calculated formation energy (meV per atom): 445

Cell and atoms, written as POSCAR:
```
CdCoMoAu
1.0
0.0000 3.1893 3.1893
3.1893 0.0000 3.1893
3.1893 3.1893 0.0000
Cd Co Mo Au
1 1 1 1
Direct
0.0000 0.0000 0.0000
0.2500 0.2500 0.2500
0.5000 0.5000 0.5000
0.7500 0.7500 0.7500
```